1.
The following is a GGA-PBE calculation of an optimized crystal structure of Nb2BiPt2, from the Alexandria database.

Symmetry   P4/mbm

a = 8.077 Å, b = 8.077 Å, c = 2.965 Å
α = 90.00°, β = 90.00°, γ = 90.00°
Fractional positions:
Nb: 0.164 0.336 0.000
Nb: 0.336 0.836 0.000
Nb: 0.664 0.164 0.000
Nb: 0.836 0.664 0.000
Bi: 0.000 0.000 0.000
Bi: 0.500 0.500 0.000
Pt: 0.126 0.626 0.500
Pt: 0.374 0.126 0.500
Pt: 0.626 0.874 0.500
Pt: 0.874 0.374 0.500

=====

2.
The following is a GGA-PBE calculation of an optimized crystal structure of Nb3BiPt, from the Alexandria database.

Symmetry   Pm-3m

a = 5.072 Å, b = 5.072 Å, c = 5.072 Å
α = 90.00°, β = 90.00°, γ = 90.00°
Fractional positions:
Nb: 0.000 0.000 0.500
Nb: 0.000 0.500 0.000
Nb: 0.500 0.000 0.000
Bi: 0.000 0.000 0.000
Pt: 0.500 0.500 0.500

=====

3.
The following is a GGA-PBE calculation of an optimized crystal structure of Nb3BiPt, from the Alexandria database.

Symmetry   Pm-3m

a = 4.959 Å, b = 4.959 Å, c = 4.959 Å
α = 90.00°, β = 90.00°, γ = 90.00°
Fractional positions:
Nb: 0.000 0.000 0.500
Nb: 0.000 0.500 0.000
Nb: 0.500 0.000 0.000
Bi: 0.500 0.500 0.500
Pt: 0.000 0.000 0.000

=====

4.
The following is a GGA-PBE calculation of an optimized crystal structure of NbBi3Pt, from the Alexandria database.

Symmetry   Pm-3m

a = 5.381 Å, b = 5.381 Å, c = 5.381 Å
α = 90.00°, β = 90.00°, γ = 90.00°
Fractional positions:
Nb: 0.000 0.000 0.000
Bi: 0.000 0.500 0.500
Bi: 0.500 0.000 0.500
Bi: 0.500 0.500 0.000
Pt: 0.500 0.500 0.500

=====

| no. | E_form (eV/atom) | energy above the lowest structure with this stoichiometry (eV/f.u.) | total energy (eV per atom) |
| --- | --- | --- | --- |
| 1 | -0.18 | 0.15 | -7.3962 |
| 2 | 2.03 | 5.97 | -5.9999 |
| 3 | 0.83 | 0.00 | -7.1944 |
| 4 | 0.87 | 0.31 | -4.6820 |